(1)
## Ac5LaRu4 (PBE)

Data for Ac5LaRu4 after structural relaxation.

Cell: 9.359 9.359 8.226 Å, 104.56 104.56 26.32°
Element x y z (fractional)
Ac1 0.000 0.000 0.000
Ac2 0.334 0.334 0.649
Ac3 0.336 0.336 0.165
Ac4 0.664 0.664 0.835
Ac5 0.666 0.666 0.351
La1 0.000 0.000 0.500
Ru1 0.176 0.176 0.624
Ru2 0.493 0.493 0.753
Ru3 0.507 0.507 0.247
Ru4 0.824 0.824 0.376

Summary:
The formation energy comes out at -0.05 eV/atom. Its space group is No. 12. The value obtained for the mass density is 9.03 g/cm3. The crystal system is monoclinic.

(2)
## Cs2RbTcBr6 (PBE)

Data for Cs2RbTcBr6 after structural relaxation.

Cell: 16.611 16.611 16.611 Å, 27.32 27.32 27.32°
Element x y z (fractional)
Cs1 0.139 0.139 0.139
Cs2 0.307 0.307 0.307
Cs3 0.693 0.693 0.693
Cs4 0.861 0.861 0.861
Rb1 0.414 0.414 0.414
Rb2 0.586 0.586 0.586
Tc1 0.000 0.000 0.000
Tc2 0.500 0.500 0.500
Br1 0.157 0.625 0.625
Br2 0.185 0.185 0.724
Br3 0.185 0.724 0.185
Br4 0.276 0.815 0.815
Br5 0.375 0.375 0.843
Br6 0.375 0.843 0.375
Br7 0.625 0.157 0.625
Br8 0.625 0.625 0.157
Br9 0.724 0.185 0.185
Br10 0.815 0.276 0.815
Br11 0.815 0.815 0.276
Br12 0.843 0.375 0.375

Summary:
Its space group is No. 166. The value obtained for the mass density is 3.62 g/cm3. The crystal system is trigonal. For the uncorrected formation energy, the calculation gives -1185 meV/atom.

(3)
## SrBiTe2I (PBE)

Data for SrBiTe2I after structural relaxation.

Cell: 6.022 6.022 5.953 Å, 90.00 90.00 90.00°
Element x y z (fractional)
Sr1 0.000 0.000 0.000
Bi1 0.500 0.500 0.500
Te1 0.000 0.500 0.500
Te2 0.500 0.000 0.500
I1 0.500 0.500 0.000

Summary:
Its space group is No. 123. As for the energy above the lowest structure with this stoichiometry: 0.00 eV/f.u. The value obtained for the mass density is 5.22 g/cm3. The crystal system is tetragonal. For the uncorrected formation energy, the calculation gives -447 meV/atom.

(4)
## MoIr2Cl (PBE)

Data for MoIr2Cl after structural relaxation.

Cell: 5.064 5.064 4.463 Å, 90.06 90.06 32.31°
Element x y z (fractional)
Mo1 0.000 0.000 0.000
Ir1 0.276 0.276 0.243
Ir2 0.724 0.724 0.757
Cl1 0.500 0.500 0.500

Summary:
Its space group is No. 12. As for the energy above the lowest structure with this stoichiometry: 0.85 eV/f.u. The value obtained for the mass density is 14.01 g/cm3. The crystal system is monoclinic. For the uncorrected formation energy, the calculation gives 417 meV/atom.

(5)
## MgSc2ReNi (PBE)

Data for MgSc2ReNi after structural relaxation.

Cell: 4.948 4.948 4.569 Å, 90.00 90.00 90.00°
Element x y z (fractional)
Mg1 0.000 0.000 0.000
Sc1 0.000 0.500 0.000
Sc2 0.500 0.000 0.000
Re1 0.000 0.000 0.500
Ni1 0.500 0.500 0.500

Summary:
The formation energy comes out at 1.55 eV/atom. Its space group is No. 123. The value obtained for the mass density is 5.33 g/cm3. The crystal system is tetragonal.

(6)
## TaHgCl2 (PBE)

Data for TaHgCl2 after structural relaxation.

Cell: 3.396 3.396 9.742 Å, 90.00 90.00 124.82°
Element x y z (fractional)
Ta1 0.000 0.000 0.000
Hg1 0.500 0.500 0.246
Cl1 0.000 0.000 0.454
Cl2 0.500 0.500 0.805

Summary:
Its space group is No. 35. As for the energy above the lowest structure with this stoichiometry: 1.53 eV/f.u. The value obtained for the mass density is 8.15 g/cm3. The crystal system is orthorhombic. For the uncorrected formation energy, the calculation gives -194 meV/atom.

(7)
## CuPb2I (PBE)

Data for CuPb2I after structural relaxation.

Cell: 5.465 5.465 5.465 Å, 60.00 60.00 60.00°
Element x y z (fractional)
Cu1 0.000 0.000 0.000
Pb1 0.250 0.250 0.250
Pb2 0.750 0.750 0.750
I1 0.500 0.500 0.500

Summary:
Its space group is No. 225. As for the energy above the lowest structure with this stoichiometry: 0.78 eV/f.u. The value obtained for the mass density is 8.70 g/cm3. The crystal system is cubic. For the uncorrected formation energy, the calculation gives 393 meV/atom.

(8)
## TlC3Se (PBE)

Data for TlC3Se after structural relaxation.

Cell: 4.465 4.465 4.465 Å, 90.00 90.00 90.00°
Element x y z (fractional)
Tl1 0.000 0.000 0.000
C1 0.000 0.000 0.500
C2 0.000 0.500 0.000
C3 0.500 0.000 0.000
Se1 0.500 0.500 0.500

Summary:
Its space group is No. 221. As for the energy above the lowest structure with this stoichiometry: 3.70 eV/f.u. The value obtained for the mass density is 5.96 g/cm3. The crystal system is cubic. For the uncorrected formation energy, the calculation gives 3565 meV/atom.

(9)
## Cr2TePb (PBE)

Data for Cr2TePb after structural relaxation.

Cell: 5.044 5.044 3.553 Å, 90.47 90.47 97.48°
Element x y z (fractional)
Cr1 0.000 0.500 0.000
Cr2 0.500 0.000 0.000
Te1 0.000 0.000 0.500
Pb1 0.500 0.500 0.500

Summary:
Its space group is No. 12. As for the energy above the lowest structure with this stoichiometry: 0.96 eV/f.u. The value obtained for the mass density is 8.13 g/cm3. The crystal system is monoclinic. For the uncorrected formation energy, the calculation gives 498 meV/atom.

(10)
## TiNbHRh2 (PBE)

Data for TiNbHRh2 after structural relaxation.

Cell: 3.985 3.985 4.045 Å, 90.00 90.00 90.00°
Element x y z (fractional)
Ti1 0.000 0.000 0.000
Nb1 0.500 0.500 0.000
H1 0.500 0.500 0.500
Rh1 0.000 0.500 0.500
Rh2 0.500 0.000 0.500

Summary:
Its space group is No. 123. As for the energy above the lowest structure with this stoichiometry: 0.16 eV/f.u. The value obtained for the mass density is 8.99 g/cm3. The crystal system is tetragonal.

(11)
## AcUOs2 (PBE)

Data for AcUOs2 after structural relaxation.

Cell: 3.431 3.431 7.571 Å, 90.00 90.00 90.00°
Element x y z (fractional)
Ac1 0.000 0.000 0.000
U1 0.000 0.000 0.500
Os1 0.500 0.500 0.309
Os2 0.500 0.500 0.691

Summary:
The formation energy comes out at 0.06 eV/atom. Its space group is No. 123. As for the energy above the lowest structure with this stoichiometry: 0.00 eV/f.u. The value obtained for the mass density is 15.75 g/cm3. The crystal system is tetragonal.

(12)
## Sr2MgSn3Rh4 (PBE)

Data for Sr2MgSn3Rh4 after structural relaxation.

Cell: 4.489 4.489 11.047 Å, 90.00 90.00 90.00°
Element x y z (fractional)
Sr1 0.000 0.500 0.246
Sr2 0.500 0.000 0.754
Mg1 0.000 0.000 0.500
Sn1 0.000 0.500 0.873
Sn2 0.500 0.000 0.127
Sn3 0.500 0.500 0.500
Rh1 0.000 0.000 0.000
Rh2 0.000 0.500 0.633
Rh3 0.500 0.000 0.367
Rh4 0.500 0.500 0.000

Summary:
The formation energy comes out at -0.62 eV/atom. Its space group is No. 115. The value obtained for the mass density is 7.21 g/cm3. The crystal system is tetragonal.

(13)
## NdTm2Al2 (PBE)

Data for NdTm2Al2 after structural relaxation.

Cell: 8.521 8.521 3.548 Å, 90.12 90.12 30.17°
Element x y z (fractional)
Nd1 0.000 0.000 0.000
Tm1 0.365 0.365 0.500
Tm2 0.635 0.635 0.500
Al1 0.203 0.203 0.000
Al2 0.797 0.797 0.000

Summary:
The formation energy comes out at -0.27 eV/atom. Its space group is No. 12. As for the energy above the lowest structure with this stoichiometry: 0.07 eV/f.u. The value obtained for the mass density is 6.87 g/cm3. The crystal system is monoclinic.

(14)
## BeAl2Cd (PBE)

Data for BeAl2Cd after structural relaxation.

Cell: 6.191 6.191 6.191 Å, 154.35 138.45 49.47°
Element x y z (fractional)
Be1 0.000 0.000 0.000
Al1 0.197 0.697 0.500
Al2 0.803 0.303 0.500
Cd1 0.500 0.500 0.000

Summary:
The formation energy comes out at 0.25 eV/atom. Its space group is No. 71. As for the energy above the lowest structure with this stoichiometry: 0.14 eV/f.u. The value obtained for the mass density is 4.29 g/cm3. The crystal system is orthorhombic.

(15)
## PmY4Tm4 (PBE)

Data for PmY4Tm4 after structural relaxation.

Cell: 7.931 7.931 7.931 Å, 95.69 95.69 143.30°
Element x y z (fractional)
Pm1 0.000 0.000 0.000
Y1 0.000 0.332 0.332
Y2 0.000 0.668 0.668
Y3 0.332 0.000 0.332
Y4 0.668 0.000 0.668
Tm1 0.333 0.333 0.666
Tm2 0.333 0.667 0.000
Tm3 0.667 0.333 0.000
Tm4 0.667 0.667 0.334

Summary:
The formation energy comes out at 0.03 eV/atom. Its space group is No. 139. As for the energy above the lowest structure with this stoichiometry: 0.00 eV/f.u. The value obtained for the mass density is 6.90 g/cm3. The crystal system is tetragonal.

(16)
## Dy2YSc (PBE)

Data for Dy2YSc after structural relaxation.

Cell: 3.509 3.509 9.698 Å, 90.00 90.00 90.00°
Element x y z (fractional)
Dy1 0.000 0.000 0.238
Dy2 0.000 0.000 0.762
Y1 0.500 0.500 0.500
Sc1 0.500 0.500 0.000

Summary:
The formation energy comes out at 0.04 eV/atom. Its space group is No. 123. As for the energy above the lowest structure with this stoichiometry: 0.03 eV/f.u. The value obtained for the mass density is 6.38 g/cm3. The crystal system is tetragonal.

(17)
## Ba3La3NdTe8 (PBE)

Data for Ba3La3NdTe8 after structural relaxation.

Cell: 9.676 9.676 9.676 Å, 57.71 57.71 57.71°
Element x y z (fractional)
Ba1 0.000 0.500 0.500
Ba2 0.500 0.000 0.500
Ba3 0.500 0.500 0.000
La1 0.000 0.000 0.500
La2 0.000 0.500 0.000
La3 0.500 0.000 0.000
Nd1 0.500 0.500 0.500
Te1 0.243 0.243 0.243
Te2 0.243 0.741 0.741
Te3 0.259 0.259 0.757
Te4 0.259 0.757 0.259
Te5 0.741 0.243 0.741
Te6 0.741 0.741 0.243
Te7 0.757 0.259 0.259
Te8 0.757 0.757 0.757

Summary:
Its space group is No. 166. The value obtained for the mass density is 5.46 g/cm3. The crystal system is trigonal. For the uncorrected formation energy, the calculation gives -1636 meV/atom.

(18)
## Mg3Hg (PBE)

Data for Mg3Hg after structural relaxation.

Cell: 5.889 5.889 5.889 Å, 146.82 63.87 127.11°
Element x y z (fractional)
Mg1 0.000 0.000 0.000
Mg2 0.141 0.380 0.761
Mg3 0.619 0.380 0.239
Hg1 0.519 0.019 0.500

Summary:
The formation energy comes out at -0.12 eV/atom. Its space group is No. 44. The value obtained for the mass density is 5.15 g/cm3. The crystal system is orthorhombic.

(19)
## CeCuH8Pt2 (PBE)

Data for CeCuH8Pt2 after structural relaxation.

Cell: 4.891 4.891 6.174 Å, 90.00 90.00 120.00°
Element x y z (fractional)
Ce1 0.000 0.000 0.000
Cu1 0.000 0.000 0.500
H1 0.164 0.327 0.333
H2 0.164 0.836 0.333
H3 0.327 0.164 0.667
H4 0.333 0.667 0.897
H5 0.667 0.333 0.103
H6 0.673 0.836 0.333
H7 0.836 0.164 0.667
H8 0.836 0.673 0.667
Pt1 0.333 0.667 0.164
Pt2 0.667 0.333 0.836

Summary:
Its space group is No. 164. The value obtained for the mass density is 7.81 g/cm3. The crystal system is trigonal. As for the total energy: -4.145 eV per atom.

(20)
## Sm7Ge2Pb2 (PBE)

Data for Sm7Ge2Pb2 after structural relaxation.

Cell: 7.138 7.138 7.057 Å, 90.00 90.00 104.65°
Element x y z (fractional)
Sm1 0.000 0.000 0.000
Sm2 0.000 0.500 0.268
Sm3 0.000 0.500 0.732
Sm4 0.500 0.000 0.268
Sm5 0.500 0.000 0.732
Sm6 0.500 0.500 0.243
Sm7 0.500 0.500 0.757
Ge1 0.272 0.728 0.000
Ge2 0.728 0.272 0.000
Pb1 0.182 0.182 0.500
Pb2 0.818 0.818 0.500

Summary:
The formation energy comes out at -0.36 eV/atom. Its space group is No. 65. The value obtained for the mass density is 7.70 g/cm3. The crystal system is orthorhombic.

(21)
## CdP3 (PBE)

Data for CdP3 after structural relaxation.

Cell: 5.038 5.038 5.038 Å, 90.00 90.00 90.00°
Element x y z (fractional)
Cd1 0.000 0.000 0.000
P1 0.000 0.000 0.500
P2 0.000 0.500 0.000
P3 0.500 0.000 0.000

Summary:
The formation energy comes out at 1.70 eV/atom. Its space group is No. 221. As for the energy above the lowest structure with this stoichiometry: 6.92 eV/f.u. The value obtained for the mass density is 2.67 g/cm3. The crystal system is cubic.

(22)
## Ti2NbAs (PBE)

Data for Ti2NbAs after structural relaxation.

Cell: 4.262 4.262 3.568 Å, 90.00 90.00 90.00°
Element x y z (fractional)
Ti1 0.000 0.500 0.000
Ti2 0.500 0.000 0.000
Nb1 0.000 0.000 0.500
As1 0.500 0.500 0.500

Summary:
The formation energy comes out at -0.48 eV/atom. Its space group is No. 123. The value obtained for the mass density is 6.75 g/cm3. The crystal system is tetragonal.